Ce2PrTl2 | PBE | optimized geometry

Geometry as CIF:
```
data_Ce2PrTl2
_chemical_formula_sum 'Ce4 Pr2 Tl4'
_cell_length_a 5.670
_cell_length_b 7.244
_cell_length_c 7.445
_cell_angle_alpha 90.00
_cell_angle_beta 90.00
_cell_angle_gamma 90.00
_symmetry_space_group_name_H-M 'C m m m'
_symmetry_Int_Tables_number 65
_symmetry_space_group_name_Hall '-C 2 2'
loop_
_atom_site_label
_atom_site_type_symbol
_atom_site_fract_x
_atom_site_fract_y
_atom_site_fract_z
Ce1 Ce 0.000 0.181 0.000
Pr1 Pr 0.000 0.000 0.500
Tl1 Tl 0.000 0.500 0.287
```

Computed properties:
Density ... 9.01 g/cm3
E ... -4.30 eV per atom
ΔE_f ... -0.0250 eV per atom
N(E_F) ... 19.3 states/eV/cell
Energy above the lowest structure with this stoichiometry ... 13.0 kJ per mole of atoms